1.
VASP calculation (SCAN) on ScTcAs at its PBEsol-relaxed geometry.

Structure (POSCAR):
```
ScTcAs
1.0
3.292 0.000 0.000
-1.646 2.851 0.000
0.000 0.000 5.610
Sc Tc As
1 1 1
Direct
0.000 0.000 0.000
0.333 0.667 0.627
0.667 0.333 0.355
```

Summary:
Final energy, eV/atom: -23.528
Energy relative to the lowest polymorph listed for this composition, meV/atom: 209
Symmetry: P3m1, No. 156
Calculated formation energy, eV per atom: -0.365

=====

2.
VASP calculation (SCAN) on ScTc2As at its PBEsol-relaxed geometry.

Structure (POSCAR):
```
ScTc2As
1.0
0.000 3.124 3.124
3.124 0.000 3.124
3.124 3.124 0.000
Sc Tc As
1 2 1
Direct
0.000 0.000 0.000
0.500 0.500 0.500
0.750 0.750 0.750
0.250 0.250 0.250
```

Summary:
Final energy, eV/atom: -26.219
Symmetry: F-43m, No. 216
Calculated formation energy, eV per atom: -0.082

=====

3.
VASP calculation (SCAN) on ScTcAs2 at its PBEsol-relaxed geometry.

Structure (POSCAR):
```
ScTcAs2
1.0
-1.900 1.900 4.471
1.900 -1.900 4.471
1.900 1.900 -4.471
Sc Tc As
1 1 2
Direct
0.000 0.000 0.000
0.750 0.250 0.500
0.250 0.750 0.500
0.500 0.500 0.000
```

Summary:
Final energy, eV/atom: -22.720
Energy relative to the lowest polymorph listed for this composition, meV/atom: 0
Symmetry: I-4m2, No. 119
Calculated formation energy, eV per atom: -0.300

=====

4.
VASP calculation (SCAN) on ScTcAs at its PBEsol-relaxed geometry.

Structure (POSCAR):
```
ScTcAs
1.0
4.232 0.000 0.000
-2.116 3.665 0.000
0.000 0.000 3.232
Sc Tc As
1 1 1
Direct
0.000 0.000 0.000
0.333 0.667 0.500
0.667 0.333 0.500
```

Summary:
Final energy, eV/atom: -23.737
Energy relative to the lowest polymorph listed for this composition, meV/atom: 0
Symmetry: P-6m2, No. 187
Calculated formation energy, eV per atom: -0.574

=====

5.
VASP calculation (SCAN) on ScTc3As at its PBEsol-relaxed geometry.

Structure (POSCAR):
```
ScTc3As
1.0
4.505 0.000 0.000
0.000 4.505 0.000
0.000 0.000 4.505
Sc Tc As
1 3 1
Direct
0.000 0.000 0.000
0.000 0.500 0.500
0.500 0.000 0.500
0.500 0.500 0.000
0.500 0.500 0.500
```

Summary:
Final energy, eV/atom: -27.450
Symmetry: Pm-3m, No. 221
Calculated formation energy, eV per atom: 0.472

=====

6.
VASP calculation (SCAN) on ScTcAs2 at its PBEsol-relaxed geometry.

Structure (POSCAR):
```
ScTcAs2
1.0
0.000 3.182 3.182
3.182 0.000 3.182
3.182 3.182 0.000
Sc Tc As
1 1 2
Direct
0.000 0.000 0.000
0.250 0.250 0.250
0.500 0.500 0.500
0.750 0.750 0.750
```

Summary:
Final energy, eV/atom: -22.558
Energy relative to the lowest polymorph listed for this composition, meV/atom: 162
Symmetry: F-43m, No. 216
Calculated formation energy, eV per atom: -0.138

=====

7.
VASP calculation (SCAN) on ScTc2As at its PBEsol-relaxed geometry.

Structure (POSCAR):
```
ScTc2As
1.0
-1.661 2.030 4.557
1.661 -2.030 4.557
1.661 2.030 -4.557
Sc Tc As
1 2 1
Direct
0.000 0.000 0.000
0.251 0.751 0.500
0.749 0.249 0.500
0.500 0.500 0.000
```

Summary:
Final energy, eV/atom: -26.304
Symmetry: Immm, No. 71
Calculated formation energy, eV per atom: -0.167

=====

8.
VASP calculation (SCAN) on ScTcAs4 at its PBEsol-relaxed geometry.

Structure (POSCAR):
```
ScTcAs4
1.0
0.000 3.766 3.766
3.766 0.000 3.766
3.766 3.766 0.000
Sc Tc As
1 1 4
Direct
0.000 0.000 0.000
0.750 0.750 0.750
0.375 0.375 0.375
0.375 0.375 0.874
0.375 0.874 0.375
0.874 0.375 0.375
```

Summary:
Final energy, eV/atom: -21.318
Symmetry: F-43m, No. 216
Calculated formation energy, eV per atom: 0.359

=====

Q: final energy of number 3 (ScTcAs2)?
A: -22.720 eV/atom